The following is a DFT calculation (PBE+U) of a relaxed structure of Ni2BMoO.

a = 3.685 Å, b = 3.685 Å, c = 4.355 Å
α = 90.00°, β = 90.00°, γ = 90.00°
Space group P4/mmm (No. 123)
Inequivalent atoms, fractional coordinates:
Ni  0.000  0.500  0.000
B  0.000  0.000  0.500
Mo  0.500  0.500  0.500
O  0.500  0.500  0.000

## Properties
**Raw total energy**: -4.13 eV per atom
**Calculated volume**: 59.1 Å³ per cell
**Total moment**: 0.041 Bohr magnetons per cell